Entry from Alexandria via LeMat-Bulk: a crystal of LaIn2Hg relaxed with PBEsol (SCAN).

Unit cell a=4.665 b=4.677 c=4.677 alpha=90.00 beta=90.00 gamma=90.00
Atoms (fractional coordinates):
In  0.000  0.000  0.500
In  0.000  0.500  0.000
Hg  0.500  0.000  0.000
La  0.500  0.500  0.500

## Properties
- raw total energy (eV/atom) = -45.07
- ΔE_f (eV per formula unit) = -2.2



Entry from Alexandria via LeMat-Bulk: a crystal of La2InHg relaxed with PBEsol (SCAN).

Unit cell a=3.848 b=5.481 c=5.481 alpha=90.37 beta=90.00 gamma=90.00
Site moments in Bohr magnetons follow the coordinates.
Atoms (fractional coordinates):
La  0.000  0.500  0.000  -0.15
La  0.000  0.000  0.500  -0.15
Hg  0.500  0.000  0.000  -0.02
In  0.500  0.500  0.500  -0.02

## Properties
- raw total energy (eV/atom) = -47.62
- ΔE_f (eV per formula unit) = -2.7



Entry from Alexandria via LeMat-Bulk: a crystal of La2InHg relaxed with PBEsol (SCAN).

Unit cell a=3.500 b=4.473 c=7.177 alpha=90.00 beta=90.00 gamma=90.00
Atoms (fractional coordinates):
La  0.000  0.000  0.252
La  0.000  0.000  0.748
Hg  0.500  0.500  0.500
In  0.500  0.500  0.000

## Properties
- raw total energy (eV/atom) = -47.60
- ΔE_f (eV per formula unit) = -2.6



Entry from Alexandria via LeMat-Bulk: a crystal of LaInHg relaxed with PBEsol (SCAN).

Unit cell a=5.180 b=6.609 c=9.270 alpha=90.00 beta=90.00 gamma=90.00
Atoms (fractional coordinates):
In  0.750  0.012  0.265
In  0.250  0.488  0.765
In  0.250  0.988  0.735
In  0.750  0.512  0.235
Hg  0.750  0.206  0.589
Hg  0.250  0.294  0.089
Hg  0.250  0.794  0.411
Hg  0.750  0.706  0.911
La  0.750  0.718  0.580
La  0.250  0.782  0.080
La  0.250  0.282  0.420
La  0.750  0.218  0.920

## Properties
- raw total energy (eV/atom) = -48.91
- ΔE_f (eV per formula unit) = -2.1



Entry from Alexandria via LeMat-Bulk: a crystal of La2InHg relaxed with PBEsol (SCAN).

Unit cell a=4.640 b=4.640 c=6.062 alpha=112.50 beta=112.50 gamma=90.00
Atoms (fractional coordinates):
La  0.000  0.000  0.000
La  0.750  0.250  0.500
Hg  0.500  0.500  0.000
In  0.250  0.750  0.500

## Properties
- raw total energy (eV/atom) = -47.51
- ΔE_f (eV per formula unit) = -2.3



Entry from Alexandria via LeMat-Bulk: a crystal of Li2InHg2 relaxed with PBEsol (SCAN).

Unit cell a=3.277 b=7.640 c=7.640 alpha=90.00 beta=90.00 gamma=90.00
Atoms (fractional coordinates):
Li  0.000  0.359  0.859
Li  0.000  0.859  0.641
Li  0.000  0.641  0.141
Li  0.000  0.141  0.359
Hg  0.500  0.151  0.651
Hg  0.500  0.651  0.849
Hg  0.500  0.849  0.349
Hg  0.500  0.349  0.151
In  0.000  0.000  0.000
In  0.000  0.500  0.500

## Properties
- raw total energy (eV/atom) = -35.21
- ΔE_f (eV per formula unit) = -1.5



Entry from Alexandria via LeMat-Bulk: a crystal of LiInHg relaxed with PBEsol (SCAN).

Unit cell a=3.167 b=3.167 c=6.432 alpha=104.25 beta=104.25 gamma=90.00
Atoms (fractional coordinates):
In  0.676  0.676  0.352
Hg  0.982  0.982  0.964
Li  0.342  0.342  0.684

## Properties
- raw total energy (eV/atom) = -34.93
- ΔE_f (eV per formula unit) = -0.8
- energy relative to the lowest polymorph listed for this composition (meV per atom) = 36



Entry from Alexandria via LeMat-Bulk: a crystal of LiInHg relaxed with PBEsol (SCAN).

Unit cell a=4.629 b=4.629 c=4.629 alpha=60.00 beta=60.00 gamma=60.00
Atoms (fractional coordinates):
In  0.000  0.000  0.000
Hg  0.250  0.250  0.250
Li  0.500  0.500  0.500

## Properties
- raw total energy (eV/atom) = -34.92
- ΔE_f (eV per formula unit) = -0.8
- energy relative to the lowest polymorph listed for this composition (meV per atom) = 39



| no. | calculated volume (Å³ per atom) |
| --- | --- |
| 1 | 25.514 |
| 2 | 28.894 |
| 3 | 28.082 |
| 4 | 26.449 |
| 5 | 27.440 |
| 6 | 19.126 |
| 7 | 20.160 |
| 8 | 23.372 |